one) DFT (GGA-PBE) results for crystalline CdSBrCl2 at its relaxed geometry.

## Properties
**N(E_F)**: 3.687 states/eV/cell

Unit cell a=5.1489 b=5.1489 c=5.4350 alpha=90.00 beta=90.00 gamma=90.00
Closest atoms and distances in Å follow each position.
Space group P4/mmm (No. 123)
One atom of each set of equivalent atoms:
Cd (0.0000, 0.0000, 0.0000) [1 per cell]  4 Cl 2.57, 2 S 2.72
S (0.0000, 0.0000, 0.5000) [1 per cell]  2 Cd 2.72
Br (0.5000, 0.5000, 0.5000) [1 per cell]  4 S 3.64, 8 Cl 3.74
Cl (0.0000, 0.5000, 0.0000) [2 per cell]  2 Cd 2.57

=====

two) DFT (GGA-PBE) results for crystalline CdSBrCl2 at its relaxed geometry.

## Properties
**N(E_F)**: 1.438 states/eV/cell

Unit cell a=5.1918 b=5.1918 c=4.9664 alpha=90.00 beta=90.00 gamma=90.00
Closest atoms and distances in Å follow each position.
Space group P4/mmm (No. 123)
One atom of each set of equivalent atoms:
Cd (0.0000, 0.0000, 0.0000) [1 per cell]  8 Cl 3.59, 4 S 3.67
S (0.5000, 0.5000, 0.0000) [1 per cell]  2 Br 2.48
Br (0.5000, 0.5000, 0.5000) [1 per cell]  2 S 2.48, 4 Cl 2.60
Cl (0.0000, 0.5000, 0.5000) [2 per cell]  2 Br 2.60

=====

Which is most stable, and by how much? one), by 240 meV per atom.

=====

one) DFT (GGA-PBE) results for crystalline ZnCdBr2Cl at its relaxed geometry.

## Properties
**N(E_F)**: 2.625 states/eV/cell

Unit cell a=14.5906 b=3.7247 c=6.4930 alpha=90.00 beta=114.94 gamma=90.00
Closest atoms and distances in Å follow each position.
Space group Cm (No. 8)
One atom of each set of equivalent atoms:
Zn (0.0000, 0.0000, 0.0000) [2 per cell]  2 Cl 2.35, 2 Br 2.40-2.41
Cd (0.1798, 0.0000, 0.6998) [2 per cell]  2 Br 2.80-2.87
Br (0.1770, 0.0000, 0.2552) [2 per cell]  1 Zn 2.41
Br (0.4747, 0.5000, 0.6105) [2 per cell]  1 Zn 2.40
Cl (0.4152, 0.0000, 0.0572) [2 per cell]  2 Zn 2.35

=====

two) DFT (GGA-PBE) results for crystalline ZnCdBr2Cl at its relaxed geometry.

## Properties
**N(E_F)**: 0.832 states/eV/cell

Unit cell a=4.0780 b=4.1583 c=10.1561 alpha=99.02 beta=99.19 gamma=101.99
Closest atoms and distances in Å follow each position.
Space group P1 (No. 1)
One atom of each set of equivalent atoms:
Zn (0.0000, 0.0000, 0.0000) [1 per cell]  3 Br 2.62-2.83
Cd (0.7357, 0.2485, 0.4861) [1 per cell]  2 Cl 2.53-2.54, 2 Br 2.65-2.66
Br (0.5585, 0.4432, 0.9995) [1 per cell]  3 Zn 2.62-2.83
Br (0.8216, 0.8306, 0.6541) [1 per cell]  2 Cd 2.65-2.66
Cl (0.1597, 0.1767, 0.3328) [1 per cell]  2 Cd 2.53-2.54

=====

Which is most stable, and by how much? one), by 39 meV per atom.

=====

one) DFT (GGA-PBE) results for crystalline ZnCdBr2Cl at its relaxed geometry.

## Properties
**N(E_F)**: 2.035 states/eV/cell

Unit cell a=3.9735 b=4.7424 c=17.8844 alpha=90.00 beta=90.00 gamma=90.00
Closest atoms and distances in Å follow each position.
Space group Imm2 (No. 44)
One atom of each set of equivalent atoms:
Zn (0.0000, 0.0000, 0.0000) [2 per cell]  2 Br 2.47, 2 Cl 2.64, 1 Cd 2.70
Cd (0.0000, 0.0000, 0.1509) [2 per cell]  2 Br 2.65, 1 Zn 2.70, 2 Cl 2.83
Br (0.0000, 0.5000, 0.4181) [2 per cell]  2 Zn 2.47
Br (0.0000, 0.5000, 0.7488) [2 per cell]  2 Cd 2.65
Cl (0.0000, 0.5000, 0.0648) [2 per cell]  2 Zn 2.64, 2 Cd 2.83

=====

two) DFT (GGA-PBE) results for crystalline ZnCdBr2Cl at its relaxed geometry.

## Properties
**N(E_F)**: 1.271 states/eV/cell

Unit cell a=4.0374 b=4.1879 c=9.7557 alpha=82.93 beta=86.83 gamma=71.28
Closest atoms and distances in Å follow each position.
Space group P1 (No. 1)
One atom of each set of equivalent atoms:
Zn (0.0000, 0.0000, 0.0000) [1 per cell]  4 Br 2.57-2.69
Cd (0.4501, 0.3019, 0.5330) [1 per cell]  3 Cl 2.62-2.86, 1 Br 2.75
Br (0.0505, 0.0686, 0.7331) [1 per cell]  1 Zn 2.59, 1 Cd 2.75
Br (0.3847, 0.3774, 0.0644) [1 per cell]  3 Zn 2.57-2.69
Cl (0.7860, 0.7151, 0.4248) [1 per cell]  3 Cd 2.62-2.86

=====

three) DFT (GGA-PBE) results for crystalline ZnCdBr2Cl at its relaxed geometry.

## Properties
**N(E_F)**: 2.060 states/eV/cell

Unit cell a=3.7121 b=3.8955 c=11.8915 alpha=91.24 beta=92.08 gamma=106.38
Closest atoms and distances in Å follow each position.
Space group P1 (No. 1)
One atom of each set of equivalent atoms:
Zn (0.0000, 0.0000, 0.0000) [1 per cell]  2 Cl 2.33, 2 Br 2.45
Cd (0.0503, 0.5304, 0.5689) [1 per cell]  3 Br 2.82-2.91
Br (0.0200, 0.5138, 0.1258) [1 per cell]  2 Zn 2.45
Br (0.3946, 0.1194, 0.4347) [1 per cell]  3 Cd 2.82-2.91
Cl (0.4827, 0.9876, 0.8810) [1 per cell]  2 Zn 2.33

=====

Which is most stable, and by how much? one), by 41 meV per atom.

=====

one) DFT (GGA-PBE) results for crystalline ZnCdBr2Cl at its relaxed geometry.

## Properties
**N(E_F)**: 2.148 states/eV/cell

Unit cell a=14.1096 b=4.1624 c=5.6036 alpha=90.00 beta=109.76 gamma=90.00
Closest atoms and distances in Å follow each position.
Space group Cm (No. 8)
One atom of each set of equivalent atoms:
Zn (0.0000, 0.0000, 0.0000) [2 per cell]  1 Cl 2.31, 3 Br 2.42-2.51
Cd (0.3000, 0.5000, 0.4658) [2 per cell]  2 Cl 2.78-2.91, 2 Br 2.98
Br (0.0186, 0.5000, 0.7703) [2 per cell]  2 Zn 2.51
Br (0.1414, 0.0000, 0.3939) [2 per cell]  1 Zn 2.42
Cl (0.3376, 0.5000, 0.0095) [2 per cell]  1 Zn 2.31

=====

two) DFT (GGA-PBE) results for crystalline ZnCdBr2Cl at its relaxed geometry.

## Properties
**N(E_F)**: 2.599 states/eV/cell

Unit cell a=3.9475 b=5.0094 c=16.8328 alpha=90.00 beta=90.00 gamma=90.00
Closest atoms and distances in Å follow each position.
Space group Imm2 (No. 44)
One atom of each set of equivalent atoms:
Zn (0.0000, 0.0000, 0.0000) [2 per cell]  2 Br 2.46, 1 Cd 2.69
Cd (0.0000, 0.0000, 0.8403) [2 per cell]  2 Cl 2.53, 1 Zn 2.69
Br (0.0000, 0.5000, 0.5876) [2 per cell]  2 Zn 2.46
Br (0.0000, 0.5000, 0.9272) [2 per cell]  2 Zn 2.79, 2 Cd 2.90
Cl (0.0000, 0.5000, 0.2466) [2 per cell]  2 Cd 2.53

=====

three) DFT (GGA-PBE) results for crystalline ZnCdBr2Cl at its relaxed geometry.

## Properties
**N(E_F)**: 1.647 states/eV/cell

Unit cell a=4.0187 b=4.1467 c=10.0339 alpha=101.62 beta=100.71 gamma=90.01
Closest atoms and distances in Å follow each position.
Space group P1 (No. 1)
One atom of each set of equivalent atoms:
Zn (0.0000, 0.0000, 0.0000) [1 per cell]  2 Cl 2.36, 2 Br 2.49
Cd (0.7276, 0.2606, 0.4888) [1 per cell]  4 Br 2.89
Br (0.2271, 0.7600, 0.4876) [1 per cell]  4 Cd 2.89
Br (0.9347, 0.4307, 0.8573) [1 per cell]  2 Zn 2.49
Cl (0.5599, 0.0634, 0.1289) [1 per cell]  2 Zn 2.36

=====

Which is most stable, and by how much? two), by 11 meV per atom.

=====

one) DFT (GGA-PBE) results for crystalline CdCoBr at its relaxed geometry.

## Properties
**N(E_F)**: 0.323 states/eV/cell

Unit cell a=3.5055 b=3.5055 c=6.1315 alpha=90.00 beta=90.00 gamma=120.00
Closest atoms and distances in Å follow each position.
Space group P3m1 (No. 156)
One atom of each set of equivalent atoms:
Cd (0.0000, 0.0000, 0.0000) [1 per cell]  3 Co 2.72
Co (0.6667, 0.3333, 0.2966) [1 per cell]  3 Br 2.46, 3 Cd 2.72
Br (0.3333, 0.6667, 0.5240) [1 per cell]  3 Co 2.46

=====

two) DFT (GGA-PBE) results for crystalline CdCoBr at its relaxed geometry.

## Properties
**N(E_F)**: 14.069 states/eV/cell

Unit cell a=3.4414 b=6.0032 c=12.9936 alpha=90.00 beta=90.00 gamma=90.00
Closest atoms and distances in Å follow each position.
Space group Fmm2 (No. 42)
One atom of each set of equivalent atoms:
Cd (0.0000, 0.0000, 0.0000) [4 per cell]  2 Co 2.64
Co (0.0000, 0.0000, 0.6537) [4 per cell]  2 Br 2.42, 2 Cd 2.64
Br (0.0000, 0.0000, 0.2842) [4 per cell]  2 Co 2.42

=====

three) DFT (GGA-PBE) results for crystalline CdCoBr at its relaxed geometry.

## Properties
**N(E_F)**: 24.274 states/eV/cell

Unit cell a=6.3376 b=6.3376 c=6.3376 alpha=90.00 beta=90.00 gamma=90.00
Closest atoms and distances in Å follow each position.
Space group F-43m (No. 216)
One atom of each set of equivalent atoms:
Cd (0.0000, 0.0000, 0.0000) [4 per cell]  4 Co 2.74
Co (0.2500, 0.2500, 0.7500) [4 per cell]  4 Cd 2.74, 4 Br 2.74
Br (0.0000, 0.0000, 0.5000) [4 per cell]  4 Co 2.74

=====

Which is most stable, and by how much? one), by 194 meV per atom.

=====

one) DFT (GGA-PBE) results for crystalline CdCo2PBr at its relaxed geometry.

## Properties
**N(E_F)**: 3.497 states/eV/cell

Unit cell a=4.1198 b=4.1198 c=6.6919 alpha=90.00 beta=90.00 gamma=90.00
Closest atoms and distances in Å follow each position.
Space group P4/mmm (No. 123)
One atom of each set of equivalent atoms:
Cd (0.0000, 0.0000, 0.0000) [1 per cell]  4 Br 2.91
Co (0.0000, 0.5000, 0.5000) [2 per cell]  2 P 2.06
P (0.5000, 0.5000, 0.5000) [1 per cell]  4 Co 2.06
Br (0.5000, 0.5000, 0.0000) [1 per cell]  4 Cd 2.91

=====

two) DFT (GGA-PBE) results for crystalline CdCo2PBr at its relaxed geometry.

## Properties
**N(E_F)**: 3.000 states/eV/cell

Unit cell a=4.3653 b=4.3653 c=5.2729 alpha=90.00 beta=90.00 gamma=90.00
Closest atoms and distances in Å follow each position.
Space group P4/mmm (No. 123)
One atom of each set of equivalent atoms:
Cd (0.0000, 0.0000, 0.0000) [1 per cell]  2 P 2.64
Co (0.0000, 0.5000, 0.5000) [2 per cell]  2 P 2.18
P (0.0000, 0.0000, 0.5000) [1 per cell]  4 Co 2.18
Br (0.5000, 0.5000, 0.0000) [1 per cell]  4 Cd 3.09, 8 Co 3.42

=====

Which is most stable, and by how much? two), by 112 meV per atom.